! PBE-GGA AcNdSmY, relaxed; values from VASP
! magnetic moment	0.00	μB/f.u.
! N(E_F)	2.18	states/eV/atom
! calculated density	6.93	g/cm³
! total energy	-19.53	eV for the cell shown
! space group	F-43m
! calculated formation energy	0.1325	eV/atom
! relative energy among the computed polymorphs	0.087	eV per atom
&SYSTEM
  ibrav = 0, nat = 4, ntyp = 4
/
ATOMIC_SPECIES
Y 88.91 Y.upf
Ac 227.00 Ac.upf
Nd 144.24 Nd.upf
Sm 150.36 Sm.upf
CELL_PARAMETERS angstrom
5.916 0.000 0.000
2.958 5.123 0.000
2.958 1.708 4.830
ATOMIC_POSITIONS angstrom
Y 8.873 5.123 3.623
Ac 0.000 0.000 0.000
Nd 2.958 1.708 1.208
Sm 5.916 3.415 2.415


! PBE-GGA CaAgRh, relaxed; values from VASP
! magnetic moment	0.00	μB/f.u.
! N(E_F)	0.75	states/eV/atom
! calculated density	6.57	g/cm³
! total energy	-51.93	eV for the cell shown
! space group	Cm
! calculated formation energy	-0.2596	eV/atom
! relative energy among the computed polymorphs	0.047	eV per atom
&SYSTEM
  ibrav = 0, nat = 12, ntyp = 3
/
ATOMIC_SPECIES
Ca 40.08 Ca.upf
Rh 102.91 Rh.upf
Ag 107.87 Ag.upf
CELL_PARAMETERS angstrom
-4.711 -2.219 -2.146
2.066 -3.989 -0.410
-2.240 -2.139 9.528
ATOMIC_POSITIONS angstrom
Ca -2.973 -2.065 5.116
Ca -0.820 -2.990 0.147
Ca -4.318 -2.247 0.106
Ca -4.405 -5.311 4.665
Rh -4.685 -3.171 7.251
Rh -2.532 -4.096 2.282
Rh -2.487 -1.534 2.396
Rh -2.574 -4.598 6.954
Ag -4.978 -2.872 2.867
Ag -5.065 -5.937 7.426
Ag -2.369 -2.085 8.348
Ag -0.217 -3.010 3.379